No. 1
VASP calculation (PBE-GGA) on a relaxed structure of TcPRh.

The structure belongs to space group I4mm (No. 107); the cell edges are 2.898, 2.898 and 9.616 Å and the angles 90.00°, 90.00° and 90.00°. Symmetry generates all atoms from Tc at (0.000, 0.000, 0.000), P at (0.000, 0.000, 0.364) and Rh at (0.000, 0.000, 0.706).

The energy above the most stable polymorph in this dataset comes out at 141 meV/atom. Its formation enthalpy at 0 K is -0.29 eV/atom.


No. 2
VASP calculation (PBE-GGA) on a relaxed structure of TcPRh4.

The structure belongs to space group F-43m (No. 216); the cell edges are 7.189, 7.189 and 7.189 Å and the angles 90.00°, 90.00° and 90.00°. Symmetry generates all atoms from Tc at (0.000, 0.000, 0.000), P at (0.250, 0.250, 0.750) and Rh at (0.125, 0.125, 0.375).

Its formation enthalpy at 0 K is 0.62 eV/atom.


No. 3
VASP calculation (PBE-GGA) on a relaxed structure of TcP2Rh.

The structure belongs to space group F-43m (No. 216); the cell edges are 6.082, 6.082 and 6.082 Å and the angles 90.00°, 90.00° and 90.00°. Symmetry generates all atoms from Tc at (0.000, 0.000, 0.000), P at (0.000, 0.000, 0.500), P at (0.250, 0.250, 0.250) and Rh at (0.250, 0.250, 0.750).

The energy above the most stable polymorph in this dataset comes out at 782 meV/atom. Its formation enthalpy at 0 K is 0.35 eV/atom.


No. 4
VASP calculation (PBE-GGA) on a relaxed structure of TcP2Rh.

The structure belongs to space group Pmmm (No. 47); the cell edges are 2.959, 3.605 and 5.279 Å and the angles 90.00°, 90.00° and 90.00°. Symmetry generates all atoms from Tc at (0.000, 0.000, 0.000), P at (0.500, 0.500, 0.214) and Rh at (0.500, 0.000, 0.500).

The energy above the most stable polymorph in this dataset comes out at 311 meV/atom. Its formation enthalpy at 0 K is -0.13 eV/atom.